## CaHo3Mg8 (PBE)

Data for crystalline CaHo3Mg8 at its relaxed geometry.

Structure (CIF):
```
data_CaHo3Mg8
_cell_length_a 6.0990
_cell_length_b 6.0990
_cell_length_c 9.7878
_cell_angle_alpha 90.00
_cell_angle_beta 90.00
_cell_angle_gamma 120.00
_symmetry_space_group_name_H-M 'P 3 m 1'
_symmetry_Int_Tables_number 156
loop_
_symmetry_equiv_pos_as_xyz
'x,y,z'
'-y,x-y,z'
'-x+y,-x,z'
'-y,-x,z'
'-x+y,y,z'
'x,x-y,z'
loop_
_atom_site_label
_atom_site_fract_x
_atom_site_fract_y
_atom_site_fract_z
Ca1 0.0000 0.0000 0.0000
Ho1 0.0000 0.0000 0.3814
Ho2 0.6667 0.3333 0.4946
Ho3 0.6667 0.3333 0.8625
Mg1 0.1639 0.3278 0.6825
Mg2 0.3333 0.6667 0.4329
Mg3 0.3333 0.6667 0.9341
Mg4 0.5046 0.0092 0.1870
```

Summary:
V: 26.3 A^3/atom
size of the total moment: 0.00 μB per cell
density: 3.841 g/cm3
formation enthalpy at 0 K: -0.070 eV per atom